# 1
Ca3AcTe4 | PBE | optimized geometry

```
Ca3AcTe4
1.0
4.571 0.000 0.000
0.000 7.934 -0.073
0.000 -2.570 7.507
Ac Ca Te
1 3 4
Cartesian
2.285 0.000 0.000
0.000 -1.285 3.753
0.000 3.967 -0.036
2.285 2.682 3.717
2.285 0.114 5.570
0.000 1.406 1.948
0.000 3.958 5.486
2.285 5.250 1.864
```

Properties
Its space group is Cmmm. The raw formation energy is -1.586 eV per atom.



# 2
AgSb2TeO | PBE | optimized geometry

```
AgSb2TeO
1.0
-0.220 -5.269 0.975
1.810 0.845 4.977
-4.973 0.525 1.719
Te O Sb Ag
1 1 2 1
Cartesian
-2.487 0.263 0.860
-1.691 -1.949 3.836
-0.110 -2.635 0.487
0.905 0.423 2.488
0.000 0.000 0.000
```

Properties
Its space group is P4/mmm. The raw formation energy is 1.114 eV per atom.



# 3
LiSmSn2S4 | PBE | optimized geometry

```
LiSmSn2S4
1.0
-2.977 -0.520 2.711
-0.031 -7.004 -1.377
4.421 -3.099 4.261
Sn S Sm Li
2 4 1 1
Cartesian
0.722 -1.809 3.486
4.421 -3.099 4.261
3.305 -7.490 2.193
1.804 -4.444 4.169
-1.891 -3.133 3.402
-0.391 -6.179 1.426
2.195 -5.051 1.442
-1.504 -3.762 0.667
```

Properties
Its space group is P2/m. The raw formation energy is -1.050 eV per atom.



# 4
Na2BO2 | PBE | optimized geometry

```
Na2BO2
1.0
6.003 0.000 0.000
3.002 5.969 -1.917
3.002 0.071 5.284
B O Na
2 4 4
Cartesian
9.005 5.638 2.490
3.002 0.401 0.878
6.003 4.977 -1.468
3.002 0.918 2.075
6.003 1.063 4.836
9.005 5.122 1.293
9.005 2.740 3.409
3.002 3.300 -0.042
6.003 1.223 2.052
6.003 4.817 1.315
```

Properties
Its space group is C2/m. The raw formation energy is -1.619 eV per atom.